Record 1
Computed, not measured: an optimized crystal structure of TbMg9Cd3 at the PBE level of DFT.

```
TbMg9Cd3
1.0
2.952 -7.091 0.000
2.952 7.091 0.000
-2.868 0.000 7.123
Tb Mg Cd
1 9 3
Direct
0.000 0.000 0.000 Tb
0.000 0.000 0.500 Mg
0.003 0.652 0.652 Mg
0.289 0.502 0.789 Mg
0.348 0.997 0.348 Mg
0.498 0.711 0.211 Mg
0.502 0.289 0.789 Mg
0.652 0.003 0.652 Mg
0.711 0.498 0.211 Mg
0.997 0.348 0.348 Mg
0.000 0.500 0.000 Cd
0.500 0.000 0.000 Cd
0.500 0.500 0.500 Cd
```

## Properties
* ΔH_f (0 K): -0.100 eV per atom

Record 2
Computed, not measured: an optimized crystal structure of PrSmHo2 at the PBE level of DFT.

```
PrSmHo2
1.0
3.612 0.000 0.000
-1.806 3.128 0.000
0.000 0.000 35.018
Pr Sm Ho
3 3 6
Direct
0.000 0.000 0.000 Pr
0.333 0.667 0.667 Pr
0.667 0.333 0.333 Pr
0.000 0.000 0.834 Sm
0.333 0.667 0.501 Sm
0.667 0.333 0.167 Sm
0.000 0.000 0.249 Ho
0.000 0.000 0.418 Ho
0.333 0.667 0.085 Ho
0.333 0.667 0.916 Ho
0.667 0.333 0.583 Ho
0.667 0.333 0.752 Ho
```

## Properties
* ΔH_f (0 K): 0.021 eV per atom

Record 3
Computed, not measured: an optimized crystal structure of La2GaBr at the PBE level of DFT.

```
La2GaBr
1.0
4.454 0.000 0.000
-2.227 3.857 0.000
0.000 0.000 21.572
La Ga Br
6 3 3
Direct
0.000 0.000 0.244 La
0.000 0.000 0.756 La
0.333 0.667 0.422 La
0.333 0.667 0.911 La
0.667 0.333 0.089 La
0.667 0.333 0.578 La
0.000 0.000 0.500 Ga
0.333 0.667 0.167 Ga
0.667 0.333 0.833 Ga
0.000 0.000 0.000 Br
0.333 0.667 0.667 Br
0.667 0.333 0.333 Br
```

## Properties
* E_form (uncorrected): -954 meV per atom

Record 4
Computed, not measured: an optimized crystal structure of PmGa6Ir4 at the PBE level of DFT.

```
PmGa6Ir4
1.0
7.461 0.000 0.000
-3.731 6.462 0.000
0.000 0.000 3.881
Pm Ga Ir
1 6 4
Direct
0.000 0.000 0.000 Pm
0.193 0.386 0.500 Ga
0.193 0.807 0.500 Ga
0.532 0.063 0.000 Ga
0.532 0.468 0.000 Ga
0.614 0.807 0.500 Ga
0.937 0.468 0.000 Ga
0.333 0.667 0.000 Ir
0.406 0.203 0.500 Ir
0.797 0.203 0.500 Ir
0.797 0.594 0.500 Ir
```

## Properties
* ΔH_f (0 K): -0.555 eV per atom

Record 5
Computed, not measured: an optimized crystal structure of AlSi2Ni at the PBE level of DFT.

```
AlSi2Ni
1.0
2.631 0.000 0.000
-1.315 2.278 0.000
0.000 0.000 9.671
Al Si Ni
1 2 1
Direct
0.000 0.000 0.000 Al
0.667 0.333 0.263 Si
0.667 0.333 0.737 Si
0.667 0.333 0.500 Ni
```

## Properties
* E_form (uncorrected): 301 meV per atom

Record 6
Computed, not measured: an optimized crystal structure of SrPuAgHg at the PBE level of DFT.

```
SrPuAgHg
1.0
7.690 0.000 0.000
0.000 7.690 0.000
0.000 0.000 7.690
Sr Pu Ag Hg
4 4 4 4
Direct
0.000 0.000 0.000 Sr
0.000 0.500 0.500 Sr
0.500 0.000 0.500 Sr
0.500 0.500 0.000 Sr
0.000 0.000 0.500 Pu
0.000 0.500 0.000 Pu
0.500 0.000 0.000 Pu
0.500 0.500 0.500 Pu
0.250 0.250 0.750 Ag
0.250 0.750 0.250 Ag
0.750 0.250 0.250 Ag
0.750 0.750 0.750 Ag
0.250 0.250 0.250 Hg
0.250 0.750 0.750 Hg
0.750 0.250 0.750 Hg
0.750 0.750 0.250 Hg
```

## Properties
* ΔH_f (0 K): -0.108 eV per atom

Record 7
Computed, not measured: an optimized crystal structure of MgTc2P at the PBE level of DFT.

```
MgTc2P
1.0
3.862 0.000 0.000
0.000 3.862 0.000
0.000 0.000 7.627
Mg Tc P
2 4 2
Direct
0.000 0.000 0.000 Mg
0.500 0.500 0.500 Mg
0.000 0.000 0.500 Tc
0.000 0.500 0.250 Tc
0.500 0.000 0.750 Tc
0.500 0.500 0.000 Tc
0.000 0.500 0.750 P
0.500 0.000 0.250 P
```

## Properties
* ΔH_f (0 K): 0.106 eV per atom

Record 8
Computed, not measured: an optimized crystal structure of Be2BiN at the PBE level of DFT.

```
Be2BiN
1.0
5.352 0.000 0.000
0.000 5.352 0.000
0.000 0.000 7.985
Be Bi N
8 4 4
Direct
0.040 0.250 0.125 Be
0.250 0.540 0.375 Be
0.250 0.960 0.875 Be
0.460 0.250 0.625 Be
0.540 0.750 0.625 Be
0.750 0.040 0.875 Be
0.750 0.460 0.375 Be
0.960 0.750 0.125 Be
0.000 0.000 0.500 Bi
0.000 0.500 0.750 Bi
0.500 0.000 0.250 Bi
0.500 0.500 0.000 Bi
0.000 0.000 0.000 N
0.000 0.500 0.250 N
0.500 0.000 0.750 N
0.500 0.500 0.500 N
```

## Properties
* E_form (uncorrected): -166 meV per atom

no.,E_tot (eV per atom),N(E_F) (states/eV/f.u.)
1,-1.77,5.34
2,-4.64,5.55
3,-4.59,2.88
4,-5.86,5.60
5,-4.79,3.28
6,-4.90,14.17
7,-6.83,3.20
8,-5.08,1.78